A plane-wave DFT calculation with GGA-PBE was carried out for a relaxed TlCuS crystal.

Results
Energy relative to the elements, uncorrected (eV/f.u.): -0.5

a b c (Å): 4.0082 5.7306 7.8765
angles (deg): 121.52 104.88 69.26
Sites, in units of the cell vectors:
Cu 0.9692 0.3741 0.3134
Tl 0.6871 0.8494 0.2209
S 0.0000 0.0000 0.0000
S 0.5000 0.5000 0.5000
Cu 0.0308 0.6259 0.6866
Tl 0.3129 0.1506 0.7791